(1)
Compound: TaCrW2
Source: Alexandria via LeMat-Bulk
Functional: GGA-PBEsol
Structure: optimized geometry

Unit cell a=3.1186 b=4.4251 c=5.1382 alpha=115.51 beta=107.67 gamma=90.00
Last column: nearest neighbours and their distance in Å.
Sites, in units of the cell vectors:
W 0.7544 0.2544 0.5088  2 Cr 2.63, 2 W 2.69, 4 Ta 2.71
W 0.0032 0.0032 0.0065  2 W 2.69, 4 Cr 2.71, 2 Ta 2.74
Ta 0.2454 0.7454 0.4909  2 Cr 2.67, 6 W 2.71-2.74
Cr 0.4969 0.4969 0.9939  6 W 2.63-2.71, 2 Ta 2.67

Values from the calculation:
Spin magnetization (μB/cell): 0.0
Energy relative to the lowest polymorph listed for this composition (meV/atom): 39
Final energy (eV per formula unit): -50.34
Calculated formation energy (kJ/mol of formula units): 7

=====

(2)
Compound: ZnAg2MoOs
Source: Alexandria via LeMat-Bulk
Functional: GGA-PBEsol
Structure: optimized geometry

Unit cell a=4.4111 b=4.4111 c=4.6827 alpha=90.00 beta=90.00 gamma=90.00
Last column: nearest neighbours and their distance in Å.
Sites, in units of the cell vectors:
Ag 0.5000 0.0000 0.0000  2 Zn 2.21
Ag 0.0000 0.5000 0.0000  2 Zn 2.21
Os 0.5000 0.5000 0.5000  4 Mo 3.12, 8 Ag 3.22
Zn 0.0000 0.0000 0.0000  4 Ag 2.21, 2 Mo 2.34
Mo 0.0000 0.0000 0.5000  2 Zn 2.34

Values from the calculation:
Spin magnetization (μB/cell): 1.8
Final energy (eV per formula unit): -23.07
Calculated formation energy (kJ/mol of formula units): 880

=====

(3)
Compound: Dy2RuRh
Source: Alexandria via LeMat-Bulk
Functional: GGA-PBEsol
Structure: optimized geometry

Unit cell a=4.7368 b=4.7368 c=4.7368 alpha=60.00 beta=60.00 gamma=60.00
Last column: nearest neighbours and their distance in Å.
Sites, in units of the cell vectors:
Ru 0.0000 0.0000 0.0000  8 Dy 2.90
Dy 0.7500 0.7500 0.7500  4 Ru 2.90, 4 Rh 2.90
Dy 0.2500 0.2500 0.2500  4 Ru 2.90, 4 Rh 2.90
Rh 0.5000 0.5000 0.5000  8 Dy 2.90

Values from the calculation:
Spin magnetization (μB/cell): 0.0
Final energy (eV per formula unit): -30.55
Calculated formation energy (kJ/mol of formula units): -221

=====

(4)
Compound: Cr4IrRh
Source: Alexandria via LeMat-Bulk
Functional: GGA-PBEsol
Structure: optimized geometry

Unit cell a=4.6616 b=4.6616 c=4.6616 alpha=60.00 beta=60.00 gamma=60.00
Last column: nearest neighbours and their distance in Å.
Sites, in units of the cell vectors:
Cr 0.8789 0.3737 0.3737  6 Cr 2.31-2.35
Cr 0.3737 0.3737 0.3737  6 Cr 2.31-2.35
Cr 0.3737 0.3737 0.8789  6 Cr 2.31-2.35
Cr 0.3737 0.8789 0.3737  6 Cr 2.31-2.35
Ir 0.7500 0.7500 0.7500  12 Cr 2.74, 4 Rh 2.85
Rh 0.0000 0.0000 0.0000  12 Cr 2.73, 4 Ir 2.85

Values from the calculation:
Spin magnetization (μB/cell): 0.0
Final energy (eV per formula unit): -59.43
Calculated formation energy (kJ/mol of formula units): -48